A geometry-optimized SrHg3Os structure, computed with PBE.

Cell lengths 5.261, 5.261, 5.261 Å; angles 90.00, 90.00, 90.00 degrees
Positions (direct):
Hg 0.500 0.000 0.000
Os 0.000 0.000 0.000
Hg 0.000 0.500 0.000
Sr 0.500 0.500 0.500
Hg 0.000 0.000 0.500

Calculated total energy: -2.561 eV per atom
Space-group type: Pm-3m, No. 221
ΔH_f (0 K): 202.3 meV per atom
Spin magnetization: 0.0 Bohr magnetons per cell
Density of states at the Fermi level: 3.23 states/eV/cell